# 1
First-principles (PBE-GGA) data for a relaxed structure of MnCdOs2, as listed in Alexandria.

Output
Size of the total moment in μB per cell: 3.82
Calculated formation energy in meV/atom: 628
SG: F-43m (216)
Fermi-level density of states in states/eV/f.u.: 4.37

```
data_MnCdOs2
_chemical_formula_sum 'Mn1 Cd1 Os2'
_cell_length_a 4.4450
_cell_length_b 4.4450
_cell_length_c 4.4450
_cell_angle_alpha 60.00
_cell_angle_beta 60.00
_cell_angle_gamma 60.00
_symmetry_space_group_name_H-M 'P 1'
_symmetry_Int_Tables_number 1
_symmetry_space_group_name_Hall 'P 1'
loop_
_atom_site_label
_atom_site_fract_x
_atom_site_fract_y
_atom_site_fract_z
Cd1 0.5000 0.5000 0.5000
Mn1 0.2500 0.2500 0.2500
Os1 0.0000 0.0000 0.0000
Os2 0.7500 0.7500 0.7500
```


# 2
First-principles (PBE-GGA) data for a relaxed structure of Pr3NiRh, as listed in Alexandria.

Output
Size of the total moment in μB per cell: 0.00
Calculated formation energy in meV/atom: -357
SG: P2_1/c (14)
Polymorph energy (0 for the lowest one) in eV/atom: 0.0000
Fermi-level density of states in states/eV/f.u.: 4.36

```
data_Pr3NiRh
_chemical_formula_sum 'Pr12 Ni4 Rh4'
_cell_length_a 7.0194
_cell_length_b 7.2580
_cell_length_c 10.3873
_cell_angle_alpha 99.65
_cell_angle_beta 90.00
_cell_angle_gamma 90.00
_symmetry_space_group_name_H-M 'P 1'
_symmetry_Int_Tables_number 1
_symmetry_space_group_name_Hall 'P 1'
loop_
_atom_site_label
_atom_site_fract_x
_atom_site_fract_y
_atom_site_fract_z
Pr1 0.3423 0.1543 0.2258
Pr2 0.6577 0.8457 0.7742
Pr3 0.8423 0.3457 0.2742
Pr4 0.1577 0.6543 0.7258
Pr5 0.9975 0.7674 0.0573
Pr6 0.0025 0.2326 0.9427
Pr7 0.4975 0.7326 0.4427
Pr8 0.5025 0.2674 0.5573
Pr9 0.5190 0.7018 0.0942
Pr10 0.4810 0.2982 0.9058
Pr11 0.0190 0.7982 0.4058
Pr12 0.9810 0.2018 0.5942
Ni1 0.3192 0.9432 0.9473
Ni2 0.6808 0.0568 0.0527
Ni3 0.8192 0.5568 0.5527
Ni4 0.1808 0.4432 0.4473
Rh1 0.6923 0.9965 0.3170
Rh2 0.3077 0.0035 0.6830
Rh3 0.1923 0.5035 0.1830
Rh4 0.8077 0.4965 0.8170
```


# 3
First-principles (PBE-GGA) data for a relaxed structure of Al2Ni5Pt, as listed in Alexandria.

Output
Size of the total moment in μB per cell: 2.49
Calculated formation energy in meV/atom: -501
SG: Pbam (55)
Fermi-level density of states in states/eV/f.u.: 7.45

```
data_Al2Ni5Pt
_chemical_formula_sum 'Al4 Ni10 Pt2'
_cell_length_a 3.6205
_cell_length_b 5.1592
_cell_length_c 10.2954
_cell_angle_alpha 90.00
_cell_angle_beta 90.00
_cell_angle_gamma 90.00
_symmetry_space_group_name_H-M 'P 1'
_symmetry_Int_Tables_number 1
_symmetry_space_group_name_Hall 'P 1'
loop_
_atom_site_label
_atom_site_fract_x
_atom_site_fract_y
_atom_site_fract_z
Al1 0.5000 0.2522 0.6276
Al2 0.5000 0.7478 0.3724
Al3 0.5000 0.2478 0.1276
Al4 0.5000 0.7522 0.8724
Ni1 0.0000 0.0000 0.0000
Ni2 0.0000 0.5000 0.5000
Ni3 0.0000 0.4924 0.7466
Ni4 0.0000 0.5076 0.2534
Ni5 0.0000 0.0076 0.2466
Ni6 0.0000 0.9924 0.7534
Ni7 0.5000 0.2376 0.8696
Ni8 0.5000 0.7624 0.1304
Ni9 0.5000 0.2624 0.3696
Ni10 0.5000 0.7376 0.6304
Pt1 0.0000 0.0000 0.5000
Pt2 0.0000 0.5000 0.0000
```


# 4
First-principles (PBE-GGA) data for a relaxed structure of CdIrPt2, as listed in Alexandria.

Output
Size of the total moment in μB per cell: 0.00
Calculated formation energy in meV/atom: 132
SG: Cmm2 (35)
Fermi-level density of states in states/eV/f.u.: 5.54

```
data_CdIrPt2
_chemical_formula_sum 'Cd1 Ir1 Pt2'
_cell_length_a 2.8053
_cell_length_b 2.8053
_cell_length_c 9.6478
_cell_angle_alpha 90.00
_cell_angle_beta 90.00
_cell_angle_gamma 120.02
_symmetry_space_group_name_H-M 'P 1'
_symmetry_Int_Tables_number 1
_symmetry_space_group_name_Hall 'P 1'
loop_
_atom_site_label
_atom_site_fract_x
_atom_site_fract_y
_atom_site_fract_z
Ir1 0.5000 0.5000 0.7560
Pt1 0.0000 0.0000 0.9957
Pt2 0.5000 0.5000 0.2458
Cd1 0.0000 0.0000 0.5025
```


# 5
First-principles (PBE-GGA) data for a relaxed structure of Nb2CuS4, as listed in Alexandria.

Output
Size of the total moment in μB per cell: 0.00
E_form (uncorrected) in eV/f.u.: -5.0
SG: Pnma (62)
Polymorph energy (0 for the lowest one) in eV/atom: 0.2106
Fermi-level density of states in states/eV/f.u.: 3.77

```
data_Nb2CuS4
_chemical_formula_sum 'Nb8 Cu4 S16'
_cell_length_a 3.3607
_cell_length_b 11.6006
_cell_length_c 13.2832
_cell_angle_alpha 90.00
_cell_angle_beta 90.00
_cell_angle_gamma 90.00
_symmetry_space_group_name_H-M 'P 1'
_symmetry_Int_Tables_number 1
_symmetry_space_group_name_Hall 'P 1'
loop_
_atom_site_label
_atom_site_fract_x
_atom_site_fract_y
_atom_site_fract_z
Nb1 0.2500 0.5671 0.0779
Nb2 0.2500 0.0671 0.4221
Nb3 0.7500 0.4329 0.9221
Nb4 0.7500 0.9329 0.5779
Nb5 0.2500 0.5385 0.5906
Nb6 0.2500 0.0385 0.9094
Nb7 0.7500 0.4615 0.4094
Nb8 0.7500 0.9615 0.0906
Cu1 0.2500 0.6597 0.7661
Cu2 0.2500 0.1597 0.7339
Cu3 0.7500 0.3403 0.2339
Cu4 0.7500 0.8403 0.2661
S1 0.2500 0.8606 0.4571
S2 0.2500 0.3606 0.0429
S3 0.7500 0.1394 0.5429
S4 0.7500 0.6394 0.9571
S5 0.2500 0.7989 0.1483
S6 0.2500 0.2989 0.3517
S7 0.7500 0.2011 0.8517
S8 0.7500 0.7011 0.6483
S9 0.2500 0.6131 0.4214
S10 0.2500 0.1131 0.0786
S11 0.7500 0.3869 0.5786
S12 0.7500 0.8869 0.9214
S13 0.2500 0.4637 0.7851
S14 0.2500 0.9637 0.7149
S15 0.7500 0.5363 0.2149
S16 0.7500 0.0363 0.2851
```


# 6
First-principles (PBE-GGA) data for a relaxed structure of Na2In2I7, as listed in Alexandria.

Output
Size of the total moment in μB per cell: 0.00
E_form (uncorrected) in eV/f.u.: -7.8
SG: C2/m (12)
Polymorph energy (0 for the lowest one) in eV/atom: 0.0070
Fermi-level density of states in states/eV/f.u.: 3.59

```
data_Na2In2I7
_chemical_formula_sum 'Na2 In2 I7'
_cell_length_a 7.7131
_cell_length_b 8.8081
_cell_length_c 8.8081
_cell_angle_alpha 98.59
_cell_angle_beta 101.90
_cell_angle_gamma 101.90
_symmetry_space_group_name_H-M 'P 1'
_symmetry_Int_Tables_number 1
_symmetry_space_group_name_Hall 'P 1'
loop_
_atom_site_label
_atom_site_fract_x
_atom_site_fract_y
_atom_site_fract_z
Na1 0.0000 0.3057 0.6943
Na2 0.0000 0.6943 0.3057
In1 0.3989 0.2228 0.2228
In2 0.6011 0.7772 0.7772
I1 0.8082 0.9347 0.5897
I2 0.1918 0.4103 0.0653
I3 0.1918 0.0653 0.4103
I4 0.8082 0.5897 0.9347
I5 0.5000 0.0000 0.0000
I6 0.2630 0.5800 0.5800
I7 0.7370 0.4200 0.4200
```


# 7
First-principles (PBE-GGA) data for a relaxed structure of TlPtBr4, as listed in Alexandria.

Output
Size of the total moment in μB per cell: 0.21
E_form (uncorrected) in eV/f.u.: 4.6
SG: F-43m (216)
Fermi-level density of states in states/eV/f.u.: 10.42

```
data_TlPtBr4
_chemical_formula_sum 'Tl1 Pt1 Br4'
_cell_length_a 6.2666
_cell_length_b 6.2666
_cell_length_c 6.2666
_cell_angle_alpha 60.00
_cell_angle_beta 60.00
_cell_angle_gamma 60.00
_symmetry_space_group_name_H-M 'P 1'
_symmetry_Int_Tables_number 1
_symmetry_space_group_name_Hall 'P 1'
loop_
_atom_site_label
_atom_site_fract_x
_atom_site_fract_y
_atom_site_fract_z
Tl1 0.0000 0.0000 0.0000
Pt1 0.7500 0.7500 0.7500
Br1 0.8725 0.3758 0.3758
Br2 0.3758 0.3758 0.8725
Br3 0.3758 0.8725 0.3758
Br4 0.3758 0.3758 0.3758
```


# 8
First-principles (PBE-GGA) data for a relaxed structure of LiPb3Cl7, as listed in Alexandria.

Output
Size of the total moment in μB per cell: 0.00
E_form (uncorrected) in eV/f.u.: -13.7
SG: C222_1 (20)
Fermi-level density of states in states/eV/f.u.: 0.00

```
data_LiPb3Cl7
_chemical_formula_sum 'Li2 Pb6 Cl14'
_cell_length_a 8.5189
_cell_length_b 8.5189
_cell_length_c 9.2945
_cell_angle_alpha 90.00
_cell_angle_beta 90.00
_cell_angle_gamma 106.27
_symmetry_space_group_name_H-M 'P 1'
_symmetry_Int_Tables_number 1
_symmetry_space_group_name_Hall 'P 1'
loop_
_atom_site_label
_atom_site_fract_x
_atom_site_fract_y
_atom_site_fract_z
Li1 0.9634 0.9634 0.5000
Li2 0.0366 0.0366 0.0000
Pb1 0.4372 0.4372 0.5000
Pb2 0.5628 0.5628 0.0000
Pb3 0.5643 0.0000 0.2670
Pb4 0.4357 0.0000 0.7670
Pb5 0.0000 0.5643 0.7330
Pb6 0.0000 0.4357 0.2330
Cl1 0.6716 0.9355 0.5483
Cl2 0.3284 0.0645 0.0483
Cl3 0.9355 0.6716 0.4517
Cl4 0.0645 0.3284 0.9517
Cl5 0.0974 0.3384 0.5385
Cl6 0.9026 0.6616 0.0385
Cl7 0.3384 0.0974 0.4615
Cl8 0.6616 0.9026 0.9615
Cl9 0.3717 0.6283 0.2500
Cl10 0.6283 0.3717 0.7500
Cl11 0.6469 0.3531 0.2500
Cl12 0.3531 0.6469 0.7500
Cl13 0.9262 0.0738 0.2500
Cl14 0.0738 0.9262 0.7500
```